Arrangement one

A plane-wave DFT calculation with PBE was carried out for crystalline Sc3SbAs at its relaxed geometry.

Structure (extended XYZ):
```
20
Lattice="-1.355 6.602 -0.866 -6.632 -0.541 -5.811 -7.119 0.799 5.170" Properties=species:S:1:pos:R:3 pbc="T T T"
Sb -11.149 4.751 -2.281
Sb -4.528 5.121 -2.032
Sb -3.956 2.110 0.774
Sb -10.577 1.739 0.525
Sc -6.837 6.300 -0.448
Sc -8.268 0.560 -1.059
Sc -2.246 3.419 -1.407
Sc -12.859 3.441 -0.100
Sc -8.439 0.676 2.182
Sc -6.666 6.184 -3.689
Sc -1.646 0.332 0.776
Sc -8.886 3.343 -3.441
Sc -13.459 6.528 -2.283
Sc -6.219 3.517 1.934
Sc -8.999 4.011 -0.264
Sc -6.106 2.849 -1.243
As -7.414 2.331 3.979
As -7.691 4.529 -5.486
As -8.013 5.417 1.786
As -7.092 1.443 -3.292
```

Values from the calculation:
ρ: 4.4 Mg/m³
Volume: 25.25 Å³ per atom
Size of the total moment: 0.0 μB/f.u.
SG: C2/c (15)

Arrangement two

A plane-wave DFT calculation with PBE was carried out for crystalline Sc3SbAs at its relaxed geometry.

Structure (extended XYZ):
```
5
Lattice="5.006 0.000 0.000 0.000 5.006 0.000 0.000 0.000 5.006" Properties=species:S:1:pos:R:3 pbc="T T T"
Sb 2.503 2.503 2.503
Sc 2.503 0.000 0.000
Sc 0.000 0.000 2.503
Sc 0.000 2.503 0.000
As 0.000 0.000 0.000
```

Values from the calculation:
ρ: 4.4 Mg/m³
Volume: 25.09 Å³ per atom
Size of the total moment: 0.0 μB/f.u.
SG: Pm-3m (221)

The most stable structure shown above is arrangement one; the least stable is arrangement two.